(1)
Crystalline UCdGa2 at its relaxed geometry. Source: Alexandria via LeMat-Bulk, functional PBE.

Results
**Offset from the most stable computed form**: 0.00 kJ/mol of atoms
**Formation enthalpy at 0 K**: 0.01 eV/atom
**DOS at the Fermi energy**: 5.99 states/eV/cell
**Space group**: P4/mmm (123)
**Theoretical density**: 9.87 g/cm³

Unit cell a=2.889 b=5.340 c=5.340 alpha=90.00 beta=90.00 gamma=90.00
Site moments in Bohr magnetons follow the coordinates.
Fractional positions:
Cd 0.500 0.000 0.000  -0.01
Ga 0.000 0.000 0.500  -0.03
U 0.500 0.500 0.500  2.00
Ga 0.000 0.500 0.000  -0.03


(2)
Crystalline YCdTeI2 at its relaxed geometry. Source: Alexandria via LeMat-Bulk, functional PBE.

Results
**Energy relative to the elements, uncorrected**: -0.12 eV/atom
**Offset from the most stable computed form**: 49.80 kJ/mol of atoms
**DOS at the Fermi energy**: 2.92 states/eV/cell
**Space group**: P4/mmm (123)
**Theoretical density**: 5.21 g/cm³

Unit cell a=5.665 b=5.665 c=5.794 alpha=90.00 beta=90.00 gamma=90.00
Site moments in Bohr magnetons follow the coordinates.
Fractional positions:
I 0.000 0.500 0.000  -0.01
Y 0.500 0.500 0.500  0.38
Cd 0.000 0.000 0.000  0.01
I 0.500 0.000 0.000  -0.01
Te 0.000 0.000 0.500  -0.02


(3)
Crystalline Ba2SmInS5 at its relaxed geometry. Source: Alexandria via LeMat-Bulk, functional PBE.

Results
**Energy relative to the elements, uncorrected**: -1.71 eV/atom
**DOS at the Fermi energy**: 0.00 states/eV/cell
**Space group**: Cmc2_1 (36)
**Theoretical density**: 4.61 g/cm³

Unit cell a=4.191 b=9.460 c=13.044 alpha=90.00 beta=90.00 gamma=102.80
Fractional positions:
Ba 0.869 0.737 0.815
S 0.950 0.901 0.551
S 0.290 0.579 0.661
In 0.449 0.897 0.442
S 0.357 0.715 0.003
S 0.643 0.285 0.503
Ba 0.131 0.263 0.315
Sm 0.788 0.576 0.521
Sm 0.212 0.424 0.021
S 0.684 0.368 0.874
S 0.504 0.009 0.274
S 0.710 0.421 0.161
S 0.050 0.099 0.051
In 0.551 0.103 0.942
S 0.496 0.991 0.774
Ba 0.115 0.230 0.683
Ba 0.885 0.770 0.183
S 0.316 0.632 0.374


(4)
Crystalline PrNdCoIr at its relaxed geometry. Source: Alexandria via LeMat-Bulk, functional PBE.

Results
**Formation enthalpy at 0 K**: -0.25 eV/atom
**DOS at the Fermi energy**: 1.19 states/eV/cell
**Space group**: F-43m (216)
**Theoretical density**: 10.10 g/cm³

Unit cell a=4.996 b=4.996 c=4.996 alpha=60.00 beta=60.00 gamma=60.00
Site moments in Bohr magnetons follow the coordinates.
Fractional positions:
Co 0.500 0.500 0.500  1.02
Nd 0.250 0.250 0.250  -0.12
Pr 0.750 0.750 0.750  -0.12
Ir 0.000 0.000 0.000  0.10


(5)
Crystalline Ti2HgW at its relaxed geometry. Source: Alexandria via LeMat-Bulk, functional PBE.

Results
**Formation enthalpy at 0 K**: 0.06 eV/atom
**DOS at the Fermi energy**: 3.10 states/eV/cell
**Space group**: P4/mmm (123)
**Theoretical density**: 11.72 g/cm³

Unit cell a=3.425 b=4.457 c=4.457 alpha=90.00 beta=90.00 gamma=90.00
Fractional positions:
Ti 0.000 0.500 0.000
Ti 0.000 0.000 0.500
W 0.500 0.000 0.000
Hg 0.500 0.500 0.500


(6)
Crystalline PBr2 at its relaxed geometry. Source: Alexandria via LeMat-Bulk, functional PBE.

Results
**Energy relative to the elements, uncorrected**: 1.43 eV/atom
**DOS at the Fermi energy**: 9.22 states/eV/cell
**Space group**: Fd-3m (227)
**Theoretical density**: 3.56 g/cm³

Unit cell a=6.312 b=6.312 c=6.312 alpha=60.00 beta=60.00 gamma=60.00
Site moments in Bohr magnetons follow the coordinates.
Fractional positions:
Br 0.125 0.125 0.625  0.22
P 0.500 0.500 0.500  1.02
P 0.750 0.750 0.750  1.02
Br 0.625 0.125 0.125  0.22
Br 0.125 0.625 0.125  0.22
Br 0.125 0.125 0.125  0.22


(7)
Crystalline TlInPd6 at its relaxed geometry. Source: Alexandria via LeMat-Bulk, functional PBE.

Results
**Offset from the most stable computed form**: 0.24 kJ/mol of atoms
**Formation enthalpy at 0 K**: -0.31 eV/atom
**DOS at the Fermi energy**: 9.02 states/eV/cell
**Space group**: P-6m2 (187)
**Theoretical density**: 11.84 g/cm³

Unit cell a=4.643 b=5.779 c=5.779 alpha=120.00 beta=90.00 gamma=90.00
Fractional positions:
Pd 0.500 0.914 0.578
Pd 0.500 0.913 0.087
Pd 0.000 0.585 0.919
Pd 0.000 0.081 0.415
In 0.500 0.417 0.583
Tl 0.000 0.083 0.917
Pd 0.000 0.585 0.415
Pd 0.500 0.422 0.086


(8)
Crystalline AcMgF5 at its relaxed geometry. Source: Alexandria via LeMat-Bulk, functional PBE.

Results
**Energy relative to the elements, uncorrected**: -3.82 eV/atom
**DOS at the Fermi energy**: 0.00 states/eV/cell
**Space group**: Immm (71)
**Theoretical density**: 4.74 g/cm³

Unit cell a=4.171 b=5.863 c=5.863 alpha=69.84 beta=69.16 gamma=69.16
Fractional positions:
Ac 0.004 0.000 0.000
F 0.004 0.500 0.500
F 0.504 0.798 0.202
Mg 0.504 0.500 0.500
F 0.733 0.271 0.271
F 0.276 0.729 0.729
F 0.504 0.202 0.798